1.
KCd2SiPb: relaxed, PBE.

Lattice parameters (Å, degrees): 5.924 5.924 5.507 90.00 90.00 90.00
Sites, in units of the cell vectors:
K 0.000 0.000 0.000
Cd 0.000 0.500 0.500
Cd 0.500 0.000 0.500
Si 0.500 0.500 0.000
Pb 0.500 0.500 0.500

Magnetic moment: 0.00 μB/cell
Formation energy without anion corrections: 0.472 eV/atom
DOS(E_F): 0.6911 states/eV per atom

=====

2.
Sm2Sc2Bi2C: relaxed, PBE.

Lattice parameters (Å, degrees): 8.768 8.768 8.768 149.65 149.65 43.45
Sites, in units of the cell vectors:
Sm 0.159 0.159 0.000
Sm 0.841 0.841 0.000
Sc 0.000 0.500 0.500
Sc 0.500 0.000 0.500
Bi 0.364 0.364 0.000
Bi 0.636 0.636 0.000
C 0.000 0.000 0.000

Magnetic moment: 0.68 μB/cell
DOS(E_F): 0.9681 states/eV per atom
Energy: -6.359 eV/atom

=====

3.
Dy3Hg2Pd2: relaxed, PBE.

Lattice parameters (Å, degrees): 11.419 11.419 3.684 90.00 90.00 160.02
Sites, in units of the cell vectors:
Dy 0.000 0.000 0.000
Dy 0.167 0.833 0.000
Dy 0.833 0.167 0.000
Hg 0.421 0.579 0.500
Hg 0.579 0.421 0.500
Pd 0.291 0.709 0.500
Pd 0.709 0.291 0.500

Magnetic moment: 0.00 μB/cell
DOS(E_F): 0.5190 states/eV per atom
Energy: -4.231 eV/atom

=====

4.
RbSrZnBi: relaxed, PBE.

Lattice parameters (Å, degrees): 5.911 5.911 5.911 60.00 60.00 60.00
Sites, in units of the cell vectors:
Rb 0.000 0.000 0.000
Sr 0.500 0.500 0.500
Zn 0.250 0.250 0.250
Bi 0.750 0.750 0.750

Magnetic moment: 0.00 μB/cell
Energy: -2.280 eV/atom